No. 1
A relaxed structure of Na2Cu5Si4O14. Source: Alexandria via LeMat-Bulk, functional GGA-PBEsol.

Formation energy from raw total energies, eV/atom: -1.7462
VASP energy, eV per atom: -6.584

```
25
Lattice="5.784 0.000 0.000 2.765 7.262 0.000 0.393 3.650 7.119" Properties=species:S:1:pos:R:3 pbc="T T T"
Na 1.718 1.196 0.414
Na 7.224 9.716 6.705
Cu 2.381 3.963 1.635
Cu 3.766 5.357 4.837
Cu 3.088 1.825 3.560
Cu 5.176 5.555 2.282
Cu 6.561 6.949 5.485
Si 0.992 4.066 4.531
Si 4.327 9.031 6.492
Si 4.616 1.882 0.628
Si 7.951 6.846 2.588
O 0.691 2.944 5.685
O 1.820 5.322 5.217
O 1.907 3.326 3.394
O 3.210 7.946 6.937
O 3.589 6.303 3.186
O 4.719 6.142 0.573
O 3.468 2.356 1.730
O 5.474 8.557 5.389
O 4.223 4.770 6.547
O 5.353 4.609 3.933
O 5.733 2.967 0.183
O 7.035 7.587 3.725
O 7.123 5.590 1.902
O 8.251 7.969 1.435
```

=====

No. 2
A relaxed structure of LiMnSiO4. Source: Alexandria via LeMat-Bulk, functional GGA-PBEsol.

Formation energy from raw total energies, eV/atom: -2.1746
VASP energy, eV per atom: -7.671
Energy relative to the lowest polymorph listed for this composition, kcal/mol of atoms: 1.562

```
28
Lattice="5.580 0.000 0.000 1.440 5.941 0.000 1.354 1.632 8.902" Properties=species:S:1:pos:R:3 pbc="T T T"
Li 2.150 2.809 3.874
Li 3.440 4.487 6.522
Li 4.933 3.086 2.379
Li 6.224 4.764 5.028
Mn 2.178 1.564 6.433
Mn 1.928 1.090 0.818
Mn 6.445 6.483 8.083
Mn 6.196 6.009 2.468
Si 2.075 4.289 0.351
Si 3.506 5.661 3.646
Si 4.867 1.912 5.255
Si 6.298 3.284 8.550
O 2.122 4.805 3.459
O 2.180 2.780 7.923
O 3.095 6.047 7.648
O 3.592 6.122 5.214
O 2.124 1.069 2.698
O 2.411 2.821 0.879
O 3.390 5.183 0.712
O 3.459 2.757 5.528
O 4.914 4.816 3.373
O 4.984 2.390 8.190
O 5.962 4.752 8.023
O 6.249 6.504 6.204
O 4.781 1.451 3.687
O 5.279 1.526 1.254
O 6.193 4.793 0.979
O 6.252 2.767 5.443
```

=====

No. 3
A relaxed structure of Mg30CdNiO32. Source: Alexandria via LeMat-Bulk, functional GGA-PBEsol.

Formation energy from raw total energies, eV/atom: -2.6114
VASP energy, eV per atom: -6.156

```
64
Lattice="8.472 0.000 0.000 0.000 8.472 0.000 0.000 0.000 8.473" Properties=species:S:1:pos:R:3 pbc="T T T"
Mg 0.000 0.000 0.000
Mg 0.000 2.108 2.125
Mg 0.000 2.108 6.348
Mg 0.000 4.236 0.000
Mg 0.000 4.236 4.236
Mg 0.000 6.364 2.125
Mg 0.000 6.364 6.348
Mg 2.091 2.091 4.236
Mg 2.091 6.381 4.236
Mg 2.098 4.236 2.101
Mg 2.098 4.236 6.372
Mg 2.108 0.000 2.125
Mg 2.108 0.000 6.348
Mg 2.115 2.115 0.000
Mg 2.115 6.356 0.000
Mg 4.236 0.000 0.000
Mg 4.236 0.000 4.236
Mg 4.236 2.098 2.101
Mg 4.236 2.098 6.372
Mg 4.236 4.236 0.000
Mg 4.236 6.373 2.101
Mg 4.236 6.373 6.372
Mg 6.356 2.115 0.000
Mg 6.356 6.356 0.000
Mg 6.364 0.000 2.125
Mg 6.364 0.000 6.348
Mg 6.373 4.236 2.101
Mg 6.373 4.236 6.372
Mg 6.381 2.091 4.236
Mg 6.381 6.381 4.236
Cd 4.236 4.236 4.236
Ni 0.000 0.000 4.236
O 0.000 0.000 2.109
O 0.000 0.000 6.363
O 0.000 2.111 0.000
O 0.000 2.107 4.236
O 0.000 4.236 2.106
O 0.000 4.236 6.367
O 0.000 6.361 0.000
O 0.000 6.365 4.236
O 2.001 4.236 4.236
O 2.102 4.236 0.000
O 2.111 0.000 0.000
O 2.107 0.000 4.236
O 2.119 2.119 2.123
O 2.119 2.119 6.349
O 2.119 6.353 2.123
O 2.119 6.353 6.349
O 4.236 0.000 2.106
O 4.236 0.000 6.367
O 4.236 2.001 4.236
O 4.236 2.102 0.000
O 4.236 4.236 2.003
O 4.236 4.236 6.469
O 4.236 6.370 0.000
O 4.236 6.471 4.236
O 6.353 2.119 2.123
O 6.353 2.119 6.349
O 6.353 6.353 2.123
O 6.353 6.353 6.349
O 6.361 0.000 0.000
O 6.365 0.000 4.236
O 6.370 4.236 0.000
O 6.471 4.236 4.236
```

=====

No. 4
A relaxed structure of TlSeCl2. Source: Alexandria via LeMat-Bulk, functional GGA-PBEsol.

Formation energy from raw total energies, eV/atom: -0.1170
VASP energy, eV per atom: -2.741
Energy relative to the lowest polymorph listed for this composition, kcal/mol of atoms: 2.900

```
4
Lattice="2.163 -3.424 0.000 2.163 3.424 0.000 0.000 0.000 7.116" Properties=species:S:1:pos:R:3 pbc="T T T"
Tl 0.000 0.000 0.000
Se 0.000 0.000 3.558
Cl 2.163 0.000 2.028
Cl 2.163 0.000 5.088
```